1.
Here is a relaxed structure of CaPH from the Alexandria database. Energies are from GGA-PBE.

a = 5.895 Å, b = 4.263 Å, c = 6.134 Å
α = 95.74°, β = 90.00°, γ = 133.74°
Fractional coordinates of all 6 atoms:
P1 0.283 0.566 0.268
P2 0.717 0.434 0.732
Ca1 0.754 0.507 0.258
Ca2 0.246 0.493 0.742
H1 0.899 0.797 0.907
H2 0.101 0.203 0.093

Summary:
Crystal system ... monoclinic
Space-group type ... C2/m (12)
E_tot ... -25.64 eV for the cell shown
Energy above the most stable polymorph in this dataset ... 0.16 eV per formula unit

---

2.
Here is a relaxed structure of CaPH from the Alexandria database. Energies are from GGA-PBE.

a = 6.720 Å, b = 7.527 Å, c = 4.280 Å
α = 90.00°, β = 90.00°, γ = 90.00°
Fractional coordinates of all 12 atoms:
P1 0.342 0.250 0.962
P2 0.158 0.750 0.462
P3 0.658 0.750 0.038
P4 0.842 0.250 0.538
Ca1 0.000 0.000 0.000
Ca2 0.500 0.500 0.500
Ca3 0.500 0.000 0.500
Ca4 0.000 0.500 0.000
H1 0.534 0.250 0.121
H2 0.966 0.750 0.621
H3 0.466 0.750 0.879
H4 0.034 0.250 0.379

Summary:
Crystal system ... orthorhombic
Space-group type ... Pnma (62)
E_tot ... -51.52 eV for the cell shown
Energy above the most stable polymorph in this dataset ... 0.10 eV per formula unit

---

3.
Here is a relaxed structure of Ca6P3H2 from the Alexandria database. Energies are from GGA-PBE.

a = 4.531 Å, b = 4.531 Å, c = 11.857 Å
α = 101.02°, β = 101.02°, γ = 90.00°
Fractional coordinates of all 11 atoms:
Ca1 0.080 0.580 0.160
Ca2 0.580 0.080 0.160
Ca3 0.920 0.420 0.840
Ca4 0.420 0.920 0.840
Ca5 0.703 0.703 0.407
Ca6 0.297 0.297 0.593
P1 0.000 0.000 0.000
P2 0.829 0.829 0.658
P3 0.171 0.171 0.342
H1 0.401 0.401 0.802
H2 0.599 0.599 0.198

Summary:
Crystal system ... tetragonal
Space-group type ... I4/mmm (139)
E_tot ... -44.81 eV for the cell shown

---

4.
Here is a relaxed structure of Ca5P2H from the Alexandria database. Energies are from GGA-PBE.

a = 6.744 Å, b = 6.744 Å, c = 6.405 Å
α = 121.77°, β = 121.77°, γ = 89.99°
Fractional coordinates of all 8 atoms:
Ca1 0.749 0.253 0.002
Ca2 0.253 0.253 0.002
Ca3 0.749 0.749 0.002
Ca4 0.253 0.749 0.002
Ca5 0.755 0.755 0.510
P1 0.254 0.754 0.508
P2 0.754 0.254 0.508
H1 0.010 0.010 0.020

Summary:
Crystal system ... tetragonal
Space-group type ... I4mm (107)
E_tot ... -28.06 eV for the cell shown

---

5.
Here is a relaxed structure of Ca6P3H from the Alexandria database. Energies are from GGA-PBE.

a = 6.750 Å, b = 8.914 Å, c = 8.914 Å
α = 102.39°, β = 90.00°, γ = 90.00°
Site moments in Bohr magnetons follow the coordinates.
Fractional coordinates of all 20 atoms:
Ca1 0.191 0.687 0.639  0.06
Ca2 0.691 0.639 0.687  0.06
Ca3 0.190 0.430 0.891  0.09
Ca4 0.690 0.891 0.430  0.09
Ca5 0.176 0.042 0.958  0.07
Ca6 0.668 0.221 0.779  0.08
Ca7 0.168 0.779 0.221  0.08
Ca8 0.676 0.958 0.042  0.07
Ca9 0.190 0.109 0.570  0.09
Ca10 0.690 0.570 0.109  0.09
Ca11 0.191 0.361 0.313  0.06
Ca12 0.691 0.313 0.361  0.06
P1 0.472 0.929 0.715  0.00
P2 0.972 0.715 0.929  0.00
P3 0.408 0.391 0.609  0.00
P4 0.908 0.609 0.391  0.00
P5 0.972 0.071 0.285  0.00
P6 0.472 0.285 0.071  0.00
H1 0.027 0.194 0.806  0.00
H2 0.527 0.806 0.194  0.00

Summary:
Crystal system ... orthorhombic
Space-group type ... Cmc2_1 (36)
E_tot ... -80.58 eV for the cell shown

---

6.
Here is a relaxed structure of CaP2H from the Alexandria database. Energies are from GGA-PBE.

a = 4.533 Å, b = 4.533 Å, c = 7.527 Å
α = 72.48°, β = 72.48°, γ = 90.00°
Fractional coordinates of all 8 atoms:
P1 0.307 0.125 0.250
P2 0.443 0.625 0.250
P3 0.375 0.693 0.750
P4 0.875 0.557 0.750
Ca1 0.000 0.000 0.000
Ca2 0.750 0.250 0.500
H1 0.500 0.500 0.000
H2 0.250 0.750 0.500

Summary:
Crystal system ... tetragonal
Space-group type ... I-42d (122)
E_tot ... -33.10 eV for the cell shown
Energy above the most stable polymorph in this dataset ... 0.00 eV per formula unit

---

Copy entry 2 word for word.
Here is a relaxed structure of CaPH from the Alexandria database. Energies are from GGA-PBE.

a = 6.720 Å, b = 7.527 Å, c = 4.280 Å
α = 90.00°, β = 90.00°, γ = 90.00°
Fractional coordinates of all 12 atoms:
P1 0.342 0.250 0.962
P2 0.158 0.750 0.462
P3 0.658 0.750 0.038
P4 0.842 0.250 0.538
Ca1 0.000 0.000 0.000
Ca2 0.500 0.500 0.500
Ca3 0.500 0.000 0.500
Ca4 0.000 0.500 0.000
H1 0.534 0.250 0.121
H2 0.966 0.750 0.621
H3 0.466 0.750 0.879
H4 0.034 0.250 0.379

Summary:
Crystal system ... orthorhombic
Space-group type ... Pnma (62)
E_tot ... -51.52 eV for the cell shown
Energy above the most stable polymorph in this dataset ... 0.10 eV per formula unit

---

> Which of these has the highest E_tot?

number 1

---

Please write out number 5 again, unchanged.
Here is a relaxed structure of Ca6P3H from the Alexandria database. Energies are from GGA-PBE.

a = 6.750 Å, b = 8.914 Å, c = 8.914 Å
α = 102.39°, β = 90.00°, γ = 90.00°
Site moments in Bohr magnetons follow the coordinates.
Fractional coordinates of all 20 atoms:
Ca1 0.191 0.687 0.639  0.06
Ca2 0.691 0.639 0.687  0.06
Ca3 0.190 0.430 0.891  0.09
Ca4 0.690 0.891 0.430  0.09
Ca5 0.176 0.042 0.958  0.07
Ca6 0.668 0.221 0.779  0.08
Ca7 0.168 0.779 0.221  0.08
Ca8 0.676 0.958 0.042  0.07
Ca9 0.190 0.109 0.570  0.09
Ca10 0.690 0.570 0.109  0.09
Ca11 0.191 0.361 0.313  0.06
Ca12 0.691 0.313 0.361  0.06
P1 0.472 0.929 0.715  0.00
P2 0.972 0.715 0.929  0.00
P3 0.408 0.391 0.609  0.00
P4 0.908 0.609 0.391  0.00
P5 0.972 0.071 0.285  0.00
P6 0.472 0.285 0.071  0.00
H1 0.027 0.194 0.806  0.00
H2 0.527 0.806 0.194  0.00

Summary:
Crystal system ... orthorhombic
Space-group type ... Cmc2_1 (36)
E_tot ... -80.58 eV for the cell shown